RbVBiF6: relaxed, PBE+U.

POSCAR file:
```
RbVBiF6
1.0
5.107 0.000 0.000
-0.920 5.724 0.000
-0.236 -2.744 5.415
Rb V Bi F
1 1 1 6
direct
0.000 0.000 0.000 Rb
0.310 0.291 0.630 V
0.538 0.713 0.384 Bi
0.166 0.505 0.457 F
0.246 0.500 0.000 F
0.449 0.039 0.299 F
0.472 0.030 0.734 F
0.650 0.571 0.670 F
0.957 0.990 0.506 F
```

Summary:
SG   P1, No. 1
DFT total energy   -5.1762 eV per atom
Calculated volume   17.59 Å³ per atom
M_tot   3.0 Bohr magnetons per cell